{"formula": "Tm4ZnHg5", "functional": "PBE-GGA", "state": "relaxed", "sg": "P4/mmm, No. 123", "formation_energy_ev_per_atom": -0.37, "cell": [[-3.536, -0.851, -0.456], [0.284, -2.571, 2.597], [-4.450, 11.912, 12.282]], "species": ["Zn", "Hg", "Hg", "Hg", "Hg", "Hg", "Tm", "Tm", "Tm", "Tm"], "fractional_positions": [[0.000, 0.000, 0.000], [0.500, 0.500, 0.912], [0.500, 0.500, 0.088], [0.500, 0.500, 0.706], [0.500, 0.500, 0.500], [0.500, 0.500, 0.294], [0.000, 0.000, 0.813], [0.000, 0.000, 0.187], [0.000, 0.000, 0.396], [0.000, 0.000, 0.604]]}